A relaxed structure of RhSeI3. Source: Alexandria, functional PBE-GGA.

SG	No. 221
size of the total moment	1.84	Bohr magnetons per cell
formation energy (no corrections)	0.887	eV per atom
density of states at the Fermi level	11.51	states/eV/cell
distance to the lowest polymorph of the same formula	43.0	kJ per mole of atoms

Cell and atoms, written as POSCAR:
```
RhSeI3
1.0
5.710 0.000 0.000
0.000 5.710 0.000
0.000 0.000 5.710
I Rh Se
3 1 1
Direct
0.000 0.500 0.000 I
0.000 0.000 0.500 I
0.500 0.000 0.000 I
0.500 0.500 0.500 Rh
0.000 0.000 0.000 Se
```

A relaxed structure of RhSe2I. Source: Alexandria, functional PBE-GGA.

SG	No. 63
size of the total moment	0.00	Bohr magnetons per cell
formation energy (no corrections)	0.052	eV per atom
density of states at the Fermi level	6.46	states/eV/cell
distance to the lowest polymorph of the same formula	29.6	kJ per mole of atoms

Cell and atoms, written as POSCAR:
```
RhSe2I
1.0
3.911 13.083 -11.399
-6.258 -13.382 9.908
-2.243 3.191 2.893
I Rh Se
2 2 4
Direct
0.303 0.697 0.250 I
0.697 0.303 0.750 I
0.025 0.975 0.250 Rh
0.975 0.025 0.750 Rh
0.096 0.904 0.250 Se
0.904 0.096 0.750 Se
0.956 0.044 0.250 Se
0.044 0.956 0.750 Se
```